DFT (PBE-GGA) results for a geometry-optimized LiTc2 structure.

## Properties
Distance to the lowest polymorph of the same formula in eV/atom: 0.049
Energy of formation from the pure elements in eV/atom: 0.148
DOS(E_F) in states/eV/atom: 0.662
Calculated total energy in eV per atom: -7.40

abc: 2.7457 2.7457 6.8297
angles: 90.00 90.00 120.00
Closest atoms and distances in Å follow each position.
Atoms (fractional coordinates):
Li 0.0000 0.0000 0.0000  6 Li 2.75, 6 Tc 2.87
Tc 0.6667 0.3333 0.6500  9 Tc 2.59-2.75, 3 Li 2.87
Tc 0.3333 0.6667 0.3500  9 Tc 2.59-2.75, 3 Li 2.87



DFT (PBE-GGA) results for a geometry-optimized CdBiH structure.

## Properties
Distance to the lowest polymorph of the same formula in eV/atom: 0.194
DOS(E_F) in states/eV/atom: 0.137
Calculated total energy in eV per atom: -2.46

abc: 3.3862 3.3862 6.4102
angles: 90.00 90.00 120.00
Closest atoms and distances in Å follow each position.
Atoms (fractional coordinates):
H 0.3333 0.6667 0.5445  3 Cd 2.08
Cd 0.6667 0.3333 0.4335  3 H 2.08
Bi 0.0000 0.0000 0.0219  3 Cd 3.28, 6 Bi 3.39, 3 H 3.63



DFT (PBE-GGA) results for a geometry-optimized TiCr2H structure.

## Properties
Distance to the lowest polymorph of the same formula in eV/atom: 0.000
DOS(E_F) in states/eV/atom: 1.007
Calculated total energy in eV per atom: -7.45

abc: 5.0660 5.0660 5.0663
angles: 60.00 60.00 90.00
Closest atoms and distances in Å follow each position.
Atoms (fractional coordinates):
H 0.5000 0.5000 0.0000  4 Cr 1.55
H 0.2500 0.7500 0.5000  4 Cr 1.55
Ti 0.0000 0.0000 0.0000  12 Cr 2.97, 4 H 3.10, 4 Ti 3.10
Ti 0.7500 0.2500 0.5000  12 Cr 2.97, 4 Ti 3.10, 4 H 3.10
Cr 0.3750 0.6250 0.2500  2 H 1.55
Cr 0.3750 0.1250 0.2500  2 H 1.55
Cr 0.3750 0.6250 0.7500  2 H 1.55
Cr 0.8750 0.6250 0.7500  2 H 1.55



DFT (PBE-GGA) results for a geometry-optimized Cu2RhSeS6 structure.

## Properties
DOS(E_F) in states/eV/atom: 0.711
Calculated total energy in eV per atom: -4.47

abc: 6.3526 7.8270 7.8270
angles: 91.27 79.79 79.79
Closest atoms and distances in Å follow each position.
Atoms (fractional coordinates):
Se 0.2500 0.2440 0.7560  4 S 2.45-2.56
Se 0.7500 0.7560 0.2440  4 S 2.45-2.56
Cu 0.7086 0.5703 0.7809  4 S 2.25-2.30
Cu 0.2914 0.4297 0.2191  4 S 2.25-2.30
Cu 0.2086 0.7809 0.5703  4 S 2.25-2.30
Cu 0.7914 0.2191 0.4297  4 S 2.25-2.30
S 0.3626 0.9226 0.3490  1 Cu 2.25, 1 Rh 2.35
S 0.8772 0.0321 0.1937  1 Cu 2.26, 2 Rh 2.38-2.43, 1 Se 2.45
S 0.3772 0.1937 0.0321  1 Cu 2.26, 2 Rh 2.38-2.43, 1 Se 2.45
S 0.9377 0.6296 0.5388  1 S 2.08, 2 Cu 2.29-2.30
S 0.5623 0.4612 0.3704  1 S 2.08, 2 Cu 2.29-2.30
S 0.1228 0.9679 0.8063  1 Cu 2.26, 2 Rh 2.38-2.43, 1 Se 2.45
S 0.4377 0.5388 0.6296  1 S 2.08, 2 Cu 2.29-2.30
S 0.1374 0.6510 0.0774  1 Cu 2.25, 1 Rh 2.35
S 0.0623 0.3704 0.4612  1 S 2.08, 2 Cu 2.29-2.30
S 0.6374 0.0774 0.6510  1 Cu 2.25, 1 Rh 2.35
S 0.6228 0.8063 0.9679  1 Cu 2.26, 2 Rh 2.38-2.43, 1 Se 2.45
S 0.8626 0.3490 0.9226  1 Cu 2.25, 1 Rh 2.35
Rh 0.2500 0.9208 0.0792  6 S 2.35-2.43
Rh 0.7500 0.0792 0.9208  6 S 2.35-2.43



DFT (PBE-GGA) results for a geometry-optimized HRu2PtRh structure.

## Properties
Distance to the lowest polymorph of the same formula in eV/atom: 0.064
DOS(E_F) in states/eV/atom: 1.065
Calculated total energy in eV per atom: -6.92

abc: 3.8987 3.8987 3.9524
angles: 90.00 90.00 90.00
Closest atoms and distances in Å follow each position.
Atoms (fractional coordinates):
Ru 0.5000 0.0000 0.0000  2 H 1.95
Ru 0.0000 0.5000 0.0000  2 H 1.95
Rh 0.5000 0.5000 0.5000  4 Pt 2.76, 8 Ru 2.78
H 0.0000 0.0000 0.0000  4 Ru 1.95, 2 Pt 1.98
Pt 0.0000 0.0000 0.5000  2 H 1.98



DFT (PBE-GGA) results for a geometry-optimized Sm2TcGe2 structure.

## Properties
Distance to the lowest polymorph of the same formula in eV/atom: 0.000
Energy of formation from the pure elements in eV/atom: -0.650
DOS(E_F) in states/eV/atom: 0.696
Calculated total energy in eV per atom: -6.46

abc: 4.2852 6.0149 9.4793
angles: 88.35 76.94 69.13
Closest atoms and distances in Å follow each position.
Atoms (fractional coordinates):
Sm 0.9244 0.2623 0.8890  5 Ge 3.00-3.17, 2 Tc 3.34
Sm 0.3271 0.6704 0.6755  6 Ge 3.00-3.23, 4 Tc 3.17-3.35
Sm 0.0756 0.7377 0.1110  5 Ge 3.00-3.17, 2 Tc 3.34
Sm 0.6729 0.3296 0.3245  6 Ge 3.00-3.23, 4 Tc 3.17-3.35
Ge 0.3710 0.1335 0.1244  1 Tc 2.62, 1 Ge 2.67
Ge 0.9175 0.7293 0.4356  3 Tc 2.50-2.56
Ge 0.6290 0.8665 0.8756  1 Tc 2.62, 1 Ge 2.67
Ge 0.0825 0.2707 0.5644  3 Tc 2.50-2.56
Tc 0.3521 0.9250 0.3709  4 Ge 2.50-2.62
Tc 0.6479 0.0750 0.6291  4 Ge 2.50-2.62



DFT (PBE-GGA) results for a geometry-optimized CdBiBr2 structure.

## Properties
Distance to the lowest polymorph of the same formula in eV/atom: 0.142
DOS(E_F) in states/eV/atom: 0.471
Calculated total energy in eV per atom: -2.22

abc: 10.7058 10.7058 10.7058
angles: 19.67 19.67 19.67
Closest atoms and distances in Å follow each position.
Atoms (fractional coordinates):
Br 0.9089 0.9089 0.9089  1 Cd 2.87, 3 Bi 3.18
Br 0.0911 0.0911 0.0911  1 Cd 2.87, 3 Bi 3.18
Cd 0.0000 0.0000 0.0000  2 Br 2.87
Bi 0.5000 0.5000 0.5000  6 Br 3.18



DFT (PBE-GGA) results for a geometry-optimized CaBe2Si structure.

## Properties
DOS(E_F) in states/eV/atom: 0.180
Calculated total energy in eV per atom: -3.68

abc: 4.3824 4.3824 8.0937
angles: 74.29 74.29 90.00
Closest atoms and distances in Å follow each position.
Atoms (fractional coordinates):
Be 0.8750 0.6249 0.7500  2 Si 2.17, 2 Be 2.19
Be 0.3751 0.6250 0.2500  2 Si 2.17, 2 Be 2.19
Be 0.3750 0.6251 0.7500  2 Si 2.17, 2 Be 2.19
Be 0.3749 0.1250 0.2500  2 Si 2.17, 2 Be 2.19
Ca 0.7500 0.2500 0.5000  8 Be 3.08, 4 Si 3.10
Ca 0.0000 0.0000 0.0000  8 Be 3.08, 4 Si 3.10
Si 0.2500 0.7500 0.5000  4 Be 2.17
Si 0.5000 0.5000 0.0000  4 Be 2.17